[1]
BeCu3Hg, relaxed, DFT PBE; excess energy over the best structure of this formula in the dataset = 0 kJ/mol of formula units; D(E_F) = 0.284 states/eV per atom; ΔH_f (0 K) = 1.9 eV/f.u.
1.0
4.140 0.000 0.000
0.000 4.140 0.000
0.000 0.000 4.140
Be Hg Cu
1 1 3
Direct
0.000 0.000 0.000
0.500 0.500 0.500
0.000 0.500 0.000
0.000 0.000 0.500
0.500 0.000 0.000



[2]
Tl8In2Hg, relaxed, DFT PBE; excess energy over the best structure of this formula in the dataset = 0 kJ/mol of formula units; D(E_F) = 0.397 states/eV per atom; ΔH_f (0 K) = 0.1 eV/f.u.
1.0
5.423 0.000 -1.557
-0.076 6.191 -0.263
-0.113 0.086 9.830
Tl In Hg
8 2 1
Direct
0.412 0.438 0.824
0.677 0.101 0.354
0.857 0.195 0.714
0.953 0.736 0.906
0.143 0.805 0.286
0.323 0.899 0.646
0.588 0.562 0.176
0.047 0.264 0.094
0.767 0.643 0.534
0.233 0.357 0.466
0.500 0.000 0.000



[3]
K2BeCo, relaxed, DFT PBE; D(E_F) = 0.586 states/eV per atom; ΔH_f (0 K) = 5.6 eV/f.u.
1.0
4.083 0.000 0.000
0.000 4.083 0.000
2.042 2.042 11.157
Be K Co
2 4 2
Direct
0.500 0.500 0.000
0.250 0.750 0.500
0.627 0.125 0.250
0.123 0.625 0.250
0.375 0.373 0.750
0.875 0.877 0.750
0.000 0.000 0.000
0.750 0.250 0.500



[4]
CuC, relaxed, DFT PBE; excess energy over the best structure of this formula in the dataset = 397 kJ/mol of formula units; D(E_F) = 0.069 states/eV per atom; ΔH_f (0 K) = 4.6 eV/f.u.
1.0
3.779 0.000 0.000
1.890 3.273 0.000
1.890 1.091 3.086
C Cu
2 2
Direct
0.000 0.000 0.000
0.250 0.250 0.250
0.500 0.500 0.500
0.750 0.750 0.750



[5]
Nd4GeSbSe2, relaxed, DFT PBE; D(E_F) = 0.203 states/eV per atom; formation energy (no corrections) = -142 kJ/mol of atoms
1.0
4.342 0.000 0.000
0.000 7.484 -0.137
0.000 2.646 7.070
Nd Ge Sb Se
4 1 1 2
Direct
0.000 0.750 0.739
0.000 0.250 0.261
0.500 0.745 0.261
0.500 0.255 0.739
0.000 0.500 0.500
0.500 0.500 0.000
0.000 0.000 0.000
0.500 0.000 0.500



[6]
CrRuSe2, relaxed, DFT PBE; excess energy over the best structure of this formula in the dataset = 142 kJ/mol of formula units; D(E_F) = 0.547 states/eV per atom; formation energy (no corrections) = 9 kJ/mol of atoms
1.0
1.776 0.000 7.994
-0.888 1.538 7.994
-0.888 -1.538 7.994
Ru Se Cr
1 2 1
Direct
0.000 0.000 0.000
0.901 0.901 0.901
0.099 0.099 0.099
0.500 0.500 0.500



[7]
TaTeSeN2, relaxed, DFT PBE; excess energy over the best structure of this formula in the dataset = 757 kJ/mol of formula units; D(E_F) = 0.791 states/eV per atom; formation energy (no corrections) = 183 kJ/mol of atoms
1.0
-1.857 -1.152 -3.304
3.484 -0.255 -1.869
0.444 -5.082 1.522
N Te Se Ta
2 1 1 1
Direct
0.000 0.500 0.000
0.500 0.000 0.000
0.000 0.000 0.500
0.000 0.000 0.000
0.500 0.500 0.500



[8]
Mo2Se, relaxed, DFT PBE; excess energy over the best structure of this formula in the dataset = 45 kJ/mol of formula units; D(E_F) = 0.734 states/eV per atom; formation energy (no corrections) = 6 kJ/mol of atoms
1.0
1.571 4.526 -0.004
-1.571 4.526 -0.004
0.000 2.618 6.975
Mo Se
4 2
Direct
0.007 0.007 0.727
0.350 0.350 0.052
0.650 0.650 0.948
0.993 0.993 0.273
0.687 0.687 0.348
0.313 0.313 0.652